Run 1
Here is a relaxed structure of CaSnS3 from Alexandria. Energies are from PBE.

CIF file:
```
data_CaSnS3
_cell_length_a 10.1802
_cell_length_b 7.4498
_cell_length_c 7.3538
_cell_angle_alpha 82.12
_cell_angle_beta 90.00
_cell_angle_gamma 90.00
_space_group_name_H-M_alt 'P 1'
_space_group_IT_number 1
_space_group_name_Hall 'P 1'
loop_
_atom_site_label
_atom_site_type_symbol
_atom_site_fract_x
_atom_site_fract_y
_atom_site_fract_z
Ca1 Ca 0.4028 0.2472 0.0856
Ca2 Ca 0.9028 0.2528 0.9144
Ca3 Ca 0.5972 0.7528 0.9144
Ca4 Ca 0.0972 0.7472 0.0856
Sn1 Sn 0.8022 0.0046 0.3542
Sn2 Sn 0.3022 0.4954 0.6458
Sn3 Sn 0.1978 0.9954 0.6458
Sn4 Sn 0.6978 0.5046 0.3542
S1 S 0.2603 0.7761 0.4390
S2 S 0.7603 0.7239 0.5610
S3 S 0.7397 0.2239 0.5610
S4 S 0.2397 0.2761 0.4390
S5 S 0.0150 0.0579 0.2305
S6 S 0.5150 0.4421 0.7695
S7 S 0.9850 0.9421 0.7695
S8 S 0.4850 0.5579 0.2305
S9 S 0.6624 0.0724 0.0853
S10 S 0.1624 0.4276 0.9147
S11 S 0.3376 0.9276 0.9147
S12 S 0.8376 0.5724 0.0853
```


Run 2
Here is a relaxed structure of CaSnS3 from Alexandria. Energies are from PBE.

CIF file:
```
data_CaSnS3
_cell_length_a 6.9562
_cell_length_b 6.9562
_cell_length_c 6.9562
_cell_angle_alpha 120.49
_cell_angle_beta 119.53
_cell_angle_gamma 89.99
_space_group_name_H-M_alt 'P 1'
_space_group_IT_number 1
_space_group_name_Hall 'P 1'
loop_
_atom_site_label
_atom_site_type_symbol
_atom_site_fract_x
_atom_site_fract_y
_atom_site_fract_z
Ca1 Ca 0.2101 0.2800 0.9901
Ca2 Ca 0.7101 0.7200 0.9301
Sn1 Sn 0.4939 0.0000 0.4939
Sn2 Sn 0.9939 0.5000 0.4939
S1 S 0.8111 0.1222 0.4332
S2 S 0.3111 0.8778 0.6889
S3 S 0.1602 0.6885 0.0007
S4 S 0.3122 0.3115 0.4717
S5 S 0.8122 0.3406 0.0007
S6 S 0.6602 0.6594 0.4717
```


Run 3
# CaSnS3 | Alexandria | PBE | optimized geometry
# DOS at the Fermi energy (states/eV per atom): 0.000
data_CaSnS3
_cell_length_a 6.4843
_cell_length_b 6.4843
_cell_length_c 9.4248
_cell_angle_alpha 90.00
_cell_angle_beta 90.00
_cell_angle_gamma 146.12
_space_group_name_H-M_alt 'P 1'
_space_group_IT_number 1
_space_group_name_Hall 'P 1'
loop_
_atom_site_label
_atom_site_type_symbol
_atom_site_fract_x
_atom_site_fract_y
_atom_site_fract_z
Ca1 Ca 0.2554 0.7446 0.7500
Ca2 Ca 0.7446 0.2554 0.2500
Sn1 Sn 0.0000 0.0000 0.5000
Sn2 Sn 0.0000 0.0000 0.0000
S1 S 0.9202 0.0798 0.7500
S2 S 0.0798 0.9202 0.2500
S3 S 0.6418 0.3582 0.5474
S4 S 0.3582 0.6418 0.4526
S5 S 0.6418 0.3582 0.9526
S6 S 0.3582 0.6418 0.0474


Run 4
# CaSnS3 | Alexandria | PBE | optimized geometry
# DOS at the Fermi energy (states/eV per atom): 1.022
data_CaSnS3
_cell_length_a 5.1873
_cell_length_b 5.1873
_cell_length_c 5.1873
_cell_angle_alpha 90.00
_cell_angle_beta 90.00
_cell_angle_gamma 90.00
_space_group_name_H-M_alt 'P 1'
_space_group_IT_number 1
_space_group_name_Hall 'P 1'
loop_
_atom_site_label
_atom_site_type_symbol
_atom_site_fract_x
_atom_site_fract_y
_atom_site_fract_z
S1 S 0.0000 0.5000 0.0000
S2 S 0.0000 0.0000 0.5000
S3 S 0.5000 0.0000 0.0000
Ca1 Ca 0.0000 0.0000 0.0000
Sn1 Sn 0.5000 0.5000 0.5000


Most stable: run 1 (next structure +0.8 kJ/mol of atoms)


Run 1
# Ca3SnS5 | Alexandria | PBE | optimized geometry
# DOS at the Fermi energy (states/eV per atom): 0.000
data_Ca3SnS5
_cell_length_a 11.7822
_cell_length_b 11.7822
_cell_length_c 11.7822
_cell_angle_alpha 44.99
_cell_angle_beta 44.99
_cell_angle_gamma 44.99
_space_group_name_H-M_alt 'P 1'
_space_group_IT_number 1
_space_group_name_Hall 'P 1'
loop_
_atom_site_label
_atom_site_type_symbol
_atom_site_fract_x
_atom_site_fract_y
_atom_site_fract_z
Ca1 Ca 0.5027 0.9991 0.5027
Ca2 Ca 0.9991 0.5027 0.5027
Ca3 Ca 0.5027 0.5027 0.9991
Ca4 Ca 0.3012 0.7318 0.3012
Ca5 Ca 0.7318 0.3012 0.3012
Ca6 Ca 0.3012 0.3012 0.7318
Ca7 Ca 0.7018 0.2721 0.7018
Ca8 Ca 0.2721 0.7018 0.7018
Ca9 Ca 0.7018 0.7018 0.2721
Sn1 Sn 0.0101 0.0101 0.0101
Sn2 Sn 0.2202 0.2202 0.2202
Sn3 Sn 0.7890 0.7890 0.7890
S1 S 0.0870 0.0870 0.0870
S2 S 0.2954 0.2954 0.2954
S3 S 0.8659 0.8659 0.8659
S4 S 0.3866 0.3866 0.3866
S5 S 0.4999 0.4999 0.4999
S6 S 0.6159 0.6159 0.6159
S7 S 0.8377 0.2712 0.8377
S8 S 0.2712 0.8377 0.8377
S9 S 0.8377 0.8377 0.2712
S10 S 0.3419 0.9056 0.3419
S11 S 0.9056 0.3419 0.3419
S12 S 0.3419 0.3419 0.9056
S13 S 0.6169 0.0379 0.6169
S14 S 0.0379 0.6169 0.6169
S15 S 0.6169 0.6169 0.0379


Run 2
# Ca3SnS5 | Alexandria | PBE | optimized geometry
# DOS at the Fermi energy (states/eV per atom): 0.000
data_Ca3SnS5
_cell_length_a 9.2635
_cell_length_b 9.2635
_cell_length_c 11.6680
_cell_angle_alpha 66.52
_cell_angle_beta 66.52
_cell_angle_gamma 56.20
_space_group_name_H-M_alt 'P 1'
_space_group_IT_number 1
_space_group_name_Hall 'P 1'
loop_
_atom_site_label
_atom_site_type_symbol
_atom_site_fract_x
_atom_site_fract_y
_atom_site_fract_z
Ca1 Ca 0.7223 0.2816 0.3089
Ca2 Ca 0.2816 0.7223 0.3089
Ca3 Ca 0.2659 0.7182 0.7049
Ca4 Ca 0.7182 0.2659 0.7049
Ca5 Ca 0.4493 0.0126 0.9947
Ca6 Ca 0.0126 0.4493 0.9947
Ca7 Ca 0.3036 0.3036 0.6197
Ca8 Ca 0.6889 0.6889 0.4031
Ca9 Ca 0.5000 0.5000 0.9758
Sn1 Sn 0.0092 0.0092 0.0035
Sn2 Sn 0.7854 0.7854 0.6331
Sn3 Sn 0.2049 0.2049 0.3683
S1 S 0.1063 0.1063 0.5977
S2 S 0.5006 0.5006 0.4990
S3 S 0.6050 0.0392 0.7227
S4 S 0.0392 0.6050 0.7227
S5 S 0.6214 0.6214 0.6911
S6 S 0.0640 0.0640 0.1689
S7 S 0.8628 0.8628 0.4037
S8 S 0.3718 0.3718 0.8697
S9 S 0.6100 0.6100 0.0994
S10 S 0.1449 0.7131 0.9759
S11 S 0.7131 0.1449 0.9759
S12 S 0.3592 0.3592 0.3507
S13 S 0.1688 0.1688 0.8618
S14 S 0.9533 0.4211 0.2708
S15 S 0.4211 0.9533 0.2708


Most stable: run 1 (next structure +4.3 kJ/mol of atoms)


Run 1
# Ca3SnS5 | Alexandria | PBE | optimized geometry
# DOS at the Fermi energy (states/eV per atom): 0.000
data_Ca3SnS5
_cell_length_a 12.1236
_cell_length_b 12.1236
_cell_length_c 12.1236
_cell_angle_alpha 42.76
_cell_angle_beta 42.76
_cell_angle_gamma 42.76
_space_group_name_H-M_alt 'P 1'
_space_group_IT_number 1
_space_group_name_Hall 'P 1'
loop_
_atom_site_label
_atom_site_type_symbol
_atom_site_fract_x
_atom_site_fract_y
_atom_site_fract_z
Ca1 Ca 0.5159 0.0034 0.5159
Ca2 Ca 0.5159 0.5159 0.0034
Ca3 Ca 0.0034 0.5159 0.5159
Ca4 Ca 0.0693 0.5165 0.0693
Ca5 Ca 0.0693 0.0693 0.5165
Ca6 Ca 0.5165 0.0693 0.0693
Ca7 Ca 0.2592 0.7880 0.2592
Ca8 Ca 0.2592 0.2592 0.7880
Ca9 Ca 0.7880 0.2592 0.2592
Sn1 Sn 0.9920 0.9920 0.9920
Sn2 Sn 0.5541 0.5541 0.5541
Sn3 Sn 0.7703 0.7703 0.7703
S1 S 0.8407 0.8407 0.8407
S2 S 0.4078 0.4078 0.4078
S3 S 0.1455 0.1455 0.1455
S4 S 0.9205 0.9205 0.9205
S5 S 0.2680 0.2680 0.2680
S6 S 0.6300 0.6300 0.6300
S7 S 0.8761 0.4582 0.8761
S8 S 0.8761 0.8761 0.4582
S9 S 0.4582 0.8761 0.8761
S10 S 0.3803 0.8117 0.3803
S11 S 0.3803 0.3803 0.8117
S12 S 0.8117 0.3803 0.3803
S13 S 0.1618 0.7116 0.1618
S14 S 0.1618 0.1618 0.7116
S15 S 0.7116 0.1618 0.1618


Run 2
Here is a relaxed structure of Ca3SnS5 from Alexandria. Energies are from PBE.

CIF file:
```
data_Ca3SnS5
_cell_length_a 8.9939
_cell_length_b 8.9939
_cell_length_c 8.9939
_cell_angle_alpha 129.49
_cell_angle_beta 129.49
_cell_angle_gamma 74.22
_space_group_name_H-M_alt 'P 1'
_space_group_IT_number 1
_space_group_name_Hall 'P 1'
loop_
_atom_site_label
_atom_site_type_symbol
_atom_site_fract_x
_atom_site_fract_y
_atom_site_fract_z
S1 S 0.0000 0.0000 0.0000
S2 S 0.5000 0.5000 0.0000
S3 S 0.0224 0.5224 0.8322
S4 S 0.6902 0.1902 0.1678
S5 S 0.5224 0.6902 0.5000
S6 S 0.1902 0.0224 0.5000
S7 S 0.9776 0.4776 0.1678
S8 S 0.3098 0.8098 0.8322
S9 S 0.4776 0.3098 0.5000
S10 S 0.8098 0.9776 0.5000
Ca1 Ca 0.7500 0.7500 0.0000
Ca2 Ca 0.2500 0.2500 0.0000
Ca3 Ca 0.3353 0.8353 0.1706
Ca4 Ca 0.6647 0.1647 0.8294
Ca5 Ca 0.8353 0.6647 0.5000
Ca6 Ca 0.1647 0.3353 0.5000
Sn1 Sn 0.7500 0.2500 0.5000
Sn2 Sn 0.2500 0.7500 0.5000
```


Most stable: run 1 (next structure +9.2 kJ/mol of atoms)


Run 1
Here is a relaxed structure of Ca3Sn2S7 from Alexandria. Energies are from PBE.

CIF file:
```
data_Ca3Sn2S7
_cell_length_a 12.1530
_cell_length_b 12.1530
_cell_length_c 7.2124
_cell_angle_alpha 90.00
_cell_angle_beta 90.00
_cell_angle_gamma 147.51
_space_group_name_H-M_alt 'P 1'
_space_group_IT_number 1
_space_group_name_Hall 'P 1'
loop_
_atom_site_label
_atom_site_type_symbol
_atom_site_fract_x
_atom_site_fract_y
_atom_site_fract_z
Ca1 Ca 0.7159 0.7159 0.4036
Ca2 Ca 0.2841 0.2841 0.9036
Ca3 Ca 0.4467 0.0715 0.0886
Ca4 Ca 0.0715 0.4467 0.0886
Ca5 Ca 0.5533 0.9285 0.5886
Ca6 Ca 0.9285 0.5533 0.5886
Sn1 Sn 0.8524 0.6454 0.0024
Sn2 Sn 0.6454 0.8524 0.0024
Sn3 Sn 0.1476 0.3546 0.5024
Sn4 Sn 0.3546 0.1476 0.5024
S1 S 0.1131 0.1131 0.5459
S2 S 0.8869 0.8869 0.0459
S3 S 0.5680 0.1582 0.4570
S4 S 0.1582 0.5680 0.4570
S5 S 0.4320 0.8418 0.9570
S6 S 0.8418 0.4320 0.9570
S7 S 0.5091 0.3598 0.1846
S8 S 0.3598 0.5091 0.1846
S9 S 0.4909 0.6402 0.6846
S10 S 0.6402 0.4909 0.6846
S11 S 0.0766 0.8126 0.2968
S12 S 0.8126 0.0766 0.2968
S13 S 0.9234 0.1874 0.7968
S14 S 0.1874 0.9234 0.7968
```


Run 2
# Ca3Sn2S7 | Alexandria | PBE | optimized geometry
# DOS at the Fermi energy (states/eV per atom): 0.266
data_Ca3Sn2S7
_cell_length_a 12.9845
_cell_length_b 12.9845
_cell_length_c 6.9881
_cell_angle_alpha 90.00
_cell_angle_beta 90.00
_cell_angle_gamma 149.12
_space_group_name_H-M_alt 'P 1'
_space_group_IT_number 1
_space_group_name_Hall 'P 1'
loop_
_atom_site_label
_atom_site_type_symbol
_atom_site_fract_x
_atom_site_fract_y
_atom_site_fract_z
Ca1 Ca 0.0000 0.5000 0.5000
Ca2 Ca 0.5000 0.0000 0.0000
Ca3 Ca 0.1682 0.2953 0.5000
Ca4 Ca 0.8318 0.7047 0.5000
Ca5 Ca 0.7047 0.8318 0.0000
Ca6 Ca 0.2953 0.1682 0.0000
Sn1 Sn 0.3837 0.0972 0.5000
Sn2 Sn 0.6163 0.9028 0.5000
Sn3 Sn 0.9028 0.6163 0.0000
Sn4 Sn 0.0972 0.3837 0.0000
S1 S 0.5000 0.0000 0.5000
S2 S 0.0000 0.5000 0.0000
S3 S 0.1773 0.8227 0.7500
S4 S 0.8227 0.1773 0.7500
S5 S 0.8227 0.1773 0.2500
S6 S 0.1773 0.8227 0.2500
S7 S 0.2092 0.1169 0.5000
S8 S 0.7908 0.8831 0.5000
S9 S 0.8831 0.7908 0.0000
S10 S 0.1169 0.2092 0.0000
S11 S 0.3808 0.6192 0.7500
S12 S 0.6192 0.3808 0.7500
S13 S 0.6192 0.3808 0.2500
S14 S 0.3808 0.6192 0.2500


Most stable: run 1 (next structure +20.0 kJ/mol of atoms)


Run 1
# Ca3Sn2S7 | Alexandria | PBE | optimized geometry
# DOS at the Fermi energy (states/eV per atom): 0.315
data_Ca3Sn2S7
_cell_length_a 12.2365
_cell_length_b 12.2365
_cell_length_c 12.2365
_cell_angle_alpha 156.40
_cell_angle_beta 156.40
_cell_angle_gamma 33.62
_space_group_name_H-M_alt 'P 1'
_space_group_IT_number 1
_space_group_name_Hall 'P 1'
loop_
_atom_site_label
_atom_site_type_symbol
_atom_site_fract_x
_atom_site_fract_y
_atom_site_fract_z
Ca1 Ca 0.5000 0.5000 0.0000
Ca2 Ca 0.3290 0.3290 0.0000
Ca3 Ca 0.6710 0.6710 0.0000
Sn1 Sn 0.1116 0.1116 0.0000
Sn2 Sn 0.8884 0.8884 0.0000
S1 S 0.0000 0.0000 0.0000
S2 S 0.5904 0.0904 0.5000
S3 S 0.0904 0.5904 0.5000
S4 S 0.4096 0.9096 0.5000
S5 S 0.9096 0.4096 0.5000
S6 S 0.2139 0.2139 0.0000
S7 S 0.7861 0.7861 0.0000


Run 2
Here is a relaxed structure of Ca3Sn2S7 from Alexandria. Energies are from PBE.

CIF file:
```
data_Ca3Sn2S7
_cell_length_a 3.8779
_cell_length_b 11.3434
_cell_length_c 12.5527
_cell_angle_alpha 90.00
_cell_angle_beta 90.00
_cell_angle_gamma 90.00
_space_group_name_H-M_alt 'P 1'
_space_group_IT_number 1
_space_group_name_Hall 'P 1'
loop_
_atom_site_label
_atom_site_type_symbol
_atom_site_fract_x
_atom_site_fract_y
_atom_site_fract_z
Ca1 Ca 0.0000 0.5000 0.0000
Ca2 Ca 0.0000 0.0000 0.5000
Ca3 Ca 0.0000 0.1129 0.1528
Ca4 Ca 0.0000 0.8871 0.8472
Ca5 Ca 0.0000 0.6129 0.3472
Ca6 Ca 0.0000 0.3871 0.6528
Sn1 Sn 0.5000 0.2149 0.8941
Sn2 Sn 0.5000 0.7851 0.1059
Sn3 Sn 0.5000 0.7149 0.6059
Sn4 Sn 0.5000 0.2851 0.3941
S1 S 0.0000 0.1430 0.7900
S2 S 0.0000 0.8570 0.2100
S3 S 0.0000 0.6430 0.7100
S4 S 0.0000 0.3570 0.2900
S5 S 0.5000 0.2050 0.5715
S6 S 0.5000 0.7950 0.4285
S7 S 0.5000 0.7050 0.9285
S8 S 0.5000 0.2950 0.0715
S9 S 0.5000 0.4198 0.8229
S10 S 0.5000 0.5802 0.1771
S11 S 0.5000 0.9198 0.6771
S12 S 0.5000 0.0802 0.3229
S13 S 0.5000 0.5000 0.5000
S14 S 0.5000 0.0000 0.0000
```


Most stable: run 2 (next structure +26.2 kJ/mol of atoms)


Run 1
Here is a relaxed structure of CaSn2S4 from Alexandria. Energies are from PBE.

CIF file:
```
data_CaSn2S4
_cell_length_a 6.6886
_cell_length_b 8.2801
_cell_length_c 14.2052
_cell_angle_alpha 90.00
_cell_angle_beta 90.00
_cell_angle_gamma 90.00
_space_group_name_H-M_alt 'P 1'
_space_group_IT_number 1
_space_group_name_Hall 'P 1'
loop_
_atom_site_label
_atom_site_type_symbol
_atom_site_fract_x
_atom_site_fract_y
_atom_site_fract_z
Ca1 Ca 0.9904 0.2500 0.2723
Ca2 Ca 0.5096 0.2500 0.7723
Ca3 Ca 0.0096 0.7500 0.7277
Ca4 Ca 0.4904 0.7500 0.2277
Sn1 Sn 0.4162 0.2500 0.0970
Sn2 Sn 0.0838 0.2500 0.5970
Sn3 Sn 0.5838 0.7500 0.9030
Sn4 Sn 0.9162 0.7500 0.4030
Sn5 Sn 0.0000 0.5000 0.0000
Sn6 Sn 0.5000 0.0000 0.5000
Sn7 Sn 0.0000 0.0000 0.0000
Sn8 Sn 0.5000 0.5000 0.5000
S1 S 0.7752 0.2500 0.0984
S2 S 0.7248 0.2500 0.5984
S3 S 0.2248 0.7500 0.9016
S4 S 0.2752 0.7500 0.4016
S5 S 0.2212 0.2500 0.4383
S6 S 0.2788 0.2500 0.9383
S7 S 0.7788 0.7500 0.5617
S8 S 0.7212 0.7500 0.0617
S9 S 0.2486 0.4760 0.1726
S10 S 0.2514 0.0240 0.6726
S11 S 0.7514 0.9760 0.8274
S12 S 0.7486 0.5240 0.3274
S13 S 0.7514 0.5240 0.8274
S14 S 0.7486 0.9760 0.3274
S15 S 0.2486 0.0240 0.1726
S16 S 0.2514 0.4760 0.6726
```


Run 2
# CaSn2S4 | Alexandria | PBE | optimized geometry
# DOS at the Fermi energy (states/eV per atom): 0.230
data_CaSn2S4
_cell_length_a 3.8795
_cell_length_b 6.6334
_cell_length_c 13.3371
_cell_angle_alpha 90.00
_cell_angle_beta 90.00
_cell_angle_gamma 107.00
_space_group_name_H-M_alt 'P 1'
_space_group_IT_number 1
_space_group_name_Hall 'P 1'
loop_
_atom_site_label
_atom_site_type_symbol
_atom_site_fract_x
_atom_site_fract_y
_atom_site_fract_z
Ca1 Ca 0.6132 0.2264 0.7500
Ca2 Ca 0.3868 0.7736 0.2500
Sn1 Sn 0.1311 0.2623 0.4293
Sn2 Sn 0.8689 0.7377 0.9293
Sn3 Sn 0.1311 0.2623 0.0707
Sn4 Sn 0.8689 0.7377 0.5707
S1 S 0.7720 0.5441 0.1161
S2 S 0.7720 0.5441 0.3839
S3 S 0.2280 0.4559 0.8839
S4 S 0.2280 0.4559 0.6161
S5 S 0.9556 0.9111 0.7500
S6 S 0.0444 0.0889 0.2500
S7 S 0.5000 0.0000 0.0000
S8 S 0.5000 0.0000 0.5000


Most stable: run 1 (next structure +4.4 kJ/mol of atoms)


Run 1
# SrCaS2 | Alexandria | PBE | optimized geometry
# DOS at the Fermi energy (states/eV per atom): 0.000
data_SrCaS2
_cell_length_a 5.0680
_cell_length_b 5.0680
_cell_length_c 5.0680
_cell_angle_alpha 60.00
_cell_angle_beta 60.00
_cell_angle_gamma 60.00
_space_group_name_H-M_alt 'P 1'
_space_group_IT_number 1
_space_group_name_Hall 'P 1'
loop_
_atom_site_label
_atom_site_type_symbol
_atom_site_fract_x
_atom_site_fract_y
_atom_site_fract_z
Sr1 Sr 0.5000 0.5000 0.5000
Ca1 Ca 0.0000 0.0000 0.0000
S1 S 0.2500 0.2500 0.2500
S2 S 0.7500 0.7500 0.7500


Run 2
# SrCaS2 | Alexandria | PBE | optimized geometry
# DOS at the Fermi energy (states/eV per atom): 0.000
data_SrCaS2
_cell_length_a 6.4916
_cell_length_b 6.4916
_cell_length_c 7.9343
_cell_angle_alpha 65.85
_cell_angle_beta 65.85
_cell_angle_gamma 90.00
_space_group_name_H-M_alt 'P 1'
_space_group_IT_number 1
_space_group_name_Hall 'P 1'
loop_
_atom_site_label
_atom_site_type_symbol
_atom_site_fract_x
_atom_site_fract_y
_atom_site_fract_z
Sr1 Sr 0.0000 0.0000 0.0000
Sr2 Sr 0.7500 0.2500 0.5000
Ca1 Ca 0.5000 0.5000 0.0000
Ca2 Ca 0.2500 0.7500 0.5000
S1 S 0.6048 0.1250 0.2500
S2 S 0.1452 0.6250 0.2500
S3 S 0.3750 0.3952 0.7500
S4 S 0.8750 0.8548 0.7500


Most stable: run 2 (next structure +7.8 kJ/mol of atoms)